# 1
Material: ScIr2Ru
Method: DFT, PBE-GGA
State: relaxed

Cell and atoms, written as extended XYZ:
```
4
Lattice="1.419 0.819 8.933 -1.419 0.819 8.933 0.000 -1.638 8.933" Properties=species:S:1:pos:R:3 pbc="T T T"
Sc 0.000 0.000 0.000
Ir 0.000 0.000 6.696
Ir 0.000 0.000 13.373
Ru 0.000 0.000 20.178
```

Space group   R3m, No. 160
Energy above the lowest structure with this stoichiometry   447 meV per atom
Magnetization   0.000 μB per formula unit

# 2
Material: RbCd2GaAu
Method: DFT, PBE-GGA
State: relaxed

Cell and atoms, written as extended XYZ:
```
5
Lattice="5.423 0.000 0.000 0.000 5.423 0.000 0.000 0.000 5.198" Properties=species:S:1:pos:R:3 pbc="T T T"
Rb 0.000 0.000 0.000
Cd 0.000 2.711 2.599
Cd 2.711 0.000 2.599
Ga 2.711 2.711 0.000
Au 2.711 2.711 2.599
```

Space group   P4/mmm, No. 123
Energy above the lowest structure with this stoichiometry   0 meV per atom
Magnetization   0.000 μB per formula unit